This record from the Alexandria database describes crystalline ScFeMo2 at its relaxed geometry. The functional is PBE.

a b c (Å): 2.8157 2.8157 7.9720
angles (deg): 90.00 90.00 90.00
Fractional positions:
1 Fe 0.5000 0.5000 0.7743
2 Mo 0.0000 0.0000 0.9578
3 Mo 0.5000 0.5000 0.2338
4 Sc 0.0000 0.0000 0.5341

## Properties
The volume is 15.8 Å³ per atom. As for the space group: No. 99. For the uncorrected energy, the calculation gives -8.94 eV per atom. The density of states at the Fermi level is 1.356 states/eV per atom. As for the formation energy: 0.70 eV/f.u.